Entry 1:
# PuUGaNi

A relaxed structure of PuUGaNi (PBE, Alexandria via LeMat-Bulk). Values from VASP.

Values from the calculation:
E_form: -85 meV/atom
Raw total energy: -8.69 eV per atom
Space group: No. 216

Structure (Quantum ESPRESSO input):
```
&SYSTEM
  ibrav = 0, nat = 4, ntyp = 4
/
ATOMIC_SPECIES
Pu 244.00 Pu.upf
U 238.03 U.upf
Ni 58.69 Ni.upf
Ga 69.72 Ga.upf
CELL_PARAMETERS angstrom
4.7107 0.0000 0.0000
2.3554 4.0796 0.0000
2.3554 1.3599 3.8463
ATOMIC_POSITIONS crystal
Pu 0.5000 0.5000 0.5000
U 0.2500 0.2500 0.2500
Ni 0.0000 0.0000 0.0000
Ga 0.7500 0.7500 0.7500
```

Entry 2:
# YPuGaNi

A relaxed structure of YPuGaNi (PBE, Alexandria via LeMat-Bulk). Values from VASP.

Values from the calculation:
E_form: -231 meV/atom
Raw total energy: -7.63 eV per atom
Space group: No. 216

Structure (Quantum ESPRESSO input):
```
&SYSTEM
  ibrav = 0, nat = 4, ntyp = 4
/
ATOMIC_SPECIES
Ga 69.72 Ga.upf
Pu 244.00 Pu.upf
Ni 58.69 Ni.upf
Y 88.91 Y.upf
CELL_PARAMETERS angstrom
-3.2195 0.1083 -3.7497
1.1251 -2.1877 -4.2878
-2.3512 -4.1306 -1.3591
ATOMIC_POSITIONS crystal
Ga 0.7500 0.7500 0.7500
Pu 0.5000 0.5000 0.5000
Ni 0.2500 0.2500 0.2500
Y 0.0000 0.0000 0.0000
```

Entry 3:
# Pu2ZnGa3Ni4

A relaxed structure of Pu2ZnGa3Ni4 (PBE, Alexandria via LeMat-Bulk). Values from VASP.

Values from the calculation:
E_form: -332 meV/atom
Raw total energy: -6.55 eV per atom
Space group: No. 115

Structure (Quantum ESPRESSO input):
```
&SYSTEM
  ibrav = 0, nat = 10, ntyp = 4
/
ATOMIC_SPECIES
Ni 58.69 Ni.upf
Zn 65.41 Zn.upf
Ga 69.72 Ga.upf
Pu 244.00 Pu.upf
CELL_PARAMETERS angstrom
-2.1139 0.0416 3.4537
-1.3359 -3.7439 -0.7726
7.9421 -3.8465 4.9076
ATOMIC_POSITIONS crystal
Ni 0.0000 0.5000 0.3614
Zn 0.5000 0.5000 0.5000
Ga 0.0000 0.0000 0.5000
Pu 0.0000 0.5000 0.7522
Ni 0.5000 0.5000 0.0000
Ni 0.0000 0.0000 0.0000
Pu 0.5000 0.0000 0.2478
Ga 0.5000 0.0000 0.8746
Ga 0.0000 0.5000 0.1254
Ni 0.5000 0.0000 0.6386
```

Entry 4:
# Pu2ZnGa4Ni3

A relaxed structure of Pu2ZnGa4Ni3 (PBE, Alexandria via LeMat-Bulk). Values from VASP.

Values from the calculation:
E_form: -346 meV/atom
Raw total energy: -6.29 eV per atom
Space group: No. 115

Structure (Quantum ESPRESSO input):
```
&SYSTEM
  ibrav = 0, nat = 10, ntyp = 4
/
ATOMIC_SPECIES
Pu 244.00 Pu.upf
Ga 69.72 Ga.upf
Ni 58.69 Ni.upf
Zn 65.41 Zn.upf
CELL_PARAMETERS angstrom
4.0382 0.0000 0.0000
0.0000 4.0382 0.0000
0.0000 0.0000 10.4837
ATOMIC_POSITIONS crystal
Pu 0.5000 0.0000 0.2418
Ga 0.5000 0.5000 0.0000
Ni 0.5000 0.0000 0.8670
Ni 0.0000 0.0000 0.5000
Zn 0.5000 0.5000 0.5000
Ga 0.0000 0.5000 0.3605
Ga 0.5000 0.0000 0.6395
Ga 0.0000 0.0000 0.0000
Ni 0.0000 0.5000 0.1330
Pu 0.0000 0.5000 0.7582
```